(1)
8
Lattice="-1.316 -3.451 -0.197 4.461 -1.534 -2.936 3.611 -1.741 6.398" Properties=species:S:1:pos:R:3 comment="TeC3 (PBE, optimized geometry)" crystal_system=orthorhombic m_tot_mub_per_fu=0.00 polymorph_energy_ev_per_atom=0.3961 total_energy_ev_per_atom=-6.342 formation_energy_uncorrected_ev_per_atom=1.36 dos_ef_per_ev_fu=1.4 pbc="T T T"
Te 3.302 -3.564 1.622
Te -0.581 -1.524 -0.087
C 1.126 -0.571 -0.791
C 2.131 -1.029 -1.483
C 1.594 -4.517 2.326
C 3.211 -1.288 -2.163
C 3.971 -5.334 0.762
C 0.590 -4.060 3.017

---

(2)
10
Lattice="9.712 0.000 0.000 0.000 9.712 0.000 0.000 0.000 3.471" Properties=species:S:1:pos:R:3 comment="CsMg2Pb2 (PBE, optimized geometry)" crystal_system=tetragonal m_tot_mub_per_fu=0.00 polymorph_energy_ev_per_atom=0.0960 total_energy_ev_per_atom=-2.309 e_form_mev_per_atom=-17 dos_ef_per_ev_fu=3.2 pbc="T T T"
Pb 6.248 1.392 0.000
Pb 8.320 6.248 0.000
Pb 3.464 8.320 0.000
Pb 1.392 3.464 0.000
Mg 3.520 1.336 1.736
Mg 6.192 8.376 1.736
Mg 1.336 6.192 1.736
Mg 8.376 3.520 1.736
Cs 0.000 0.000 0.000
Cs 4.856 4.856 0.000

---

(3)
9
Lattice="5.386 0.000 0.000 2.693 4.664 0.000 0.000 0.000 5.901" Properties=species:S:1:pos:R:3 comment="KScRuO6 (PBE, optimized geometry)" crystal_system=trigonal m_tot_mub_per_fu=0.00 total_energy_ev_per_atom=-6.670 formation_energy_uncorrected_ev_per_atom=-1.51 pbc="T T T"
O 3.276 0.140 1.853
O 3.626 2.767 1.853
O 2.110 0.140 4.048
O 1.759 2.767 4.048
O 4.210 1.757 4.048
O 1.176 1.757 1.853
Sc 5.386 3.109 2.950
K 5.386 0.000 5.901
Ru 2.693 1.555 2.950